A plane-wave DFT calculation with PBE with a Hubbard U was carried out for crystalline BaCoOsO5 at its relaxed geometry.

Summary:
The value obtained for the total energy is -6.91 eV per atom.

Geometry as POSCAR:
```
BaCoOsO5
1.0
-3.8747 4.3446 1.2248
-2.0235 -2.9752 -4.7373
-1.0103 -4.8270 5.6126
O Ba Co Os
10 2 2 2
direct
0.2762 0.8988 0.5920
0.1012 0.7238 0.9080
0.2246 0.3484 0.5869
0.0514 0.9486 0.2500
0.3484 0.2246 0.0869
0.9486 0.0514 0.7500
0.7754 0.6516 0.4131
0.6516 0.7754 0.9131
0.7238 0.1012 0.4080
0.8988 0.2762 0.0920
0.6674 0.3326 0.7500
0.3326 0.6674 0.2500
0.6907 0.3093 0.2500
0.3093 0.6907 0.7500
0.0000 0.0000 0.5000
0.0000 0.0000 0.0000
```